The following is a DFT calculation (PBE) of a relaxed Tl2VRh crystal.

Values from the calculation:
Total magnetization = 2.8 μB per formula unit
Total energy = -4.66 eV/atom
Density = 10957 kg/m³
Calculated formation energy = 0.64 eV per atom
Symmetry = No. 122

abc: 6.141 6.141 6.141
angles: 103.09 103.09 123.16
Fractional positions:
Tl 0.110 0.125 0.485
Tl 0.375 0.890 0.015
Tl 0.640 0.625 0.515
Tl 0.875 0.360 0.985
V 0.250 0.750 0.500
V 0.500 0.500 0.000
Rh 0.000 0.000 0.000
Rh 0.750 0.250 0.500

=====

The following is a DFT calculation (PBE) of a relaxed TlVRh3 crystal.

Values from the calculation:
Total magnetization = 0.0 μB per formula unit
Total energy = -6.16 eV/atom
Density = 9927 kg/m³
Calculated formation energy = 0.55 eV per atom
Symmetry = No. 221

abc: 4.553 4.553 4.553
angles: 90.00 90.00 90.00
Fractional positions:
Tl 0.000 0.000 0.000
V 0.500 0.500 0.500
Rh 0.000 0.500 0.500
Rh 0.500 0.000 0.500
Rh 0.500 0.500 0.000

=====

The following is a DFT calculation (PBE) of a relaxed TlVRh3 crystal.

Values from the calculation:
Total magnetization = 1.3 μB per formula unit
Total energy = -4.99 eV/atom
Density = 7915 kg/m³
Calculated formation energy = 1.72 eV per atom
Symmetry = No. 221

abc: 4.910 4.910 4.910
angles: 90.00 90.00 90.00
Fractional positions:
Tl 0.000 0.000 0.000
V 0.500 0.500 0.500
Rh 0.000 0.000 0.500
Rh 0.000 0.500 0.000
Rh 0.500 0.000 0.000

=====

The following is a DFT calculation (PBE) of a relaxed TlVRh2 crystal.

Values from the calculation:
Total magnetization = 0.0 μB per formula unit
Total energy = -6.36 eV/atom
Density = 10782 kg/m³
Calculated formation energy = 0.18 eV per atom
Symmetry = No. 122

abc: 5.754 5.754 5.754
angles: 103.97 103.97 121.14
Fractional positions:
Tl 0.000 0.000 0.000
Tl 0.750 0.250 0.500
V 0.250 0.750 0.500
V 0.500 0.500 0.000
Rh 0.185 0.625 0.060
Rh 0.375 0.435 0.560
Rh 0.565 0.125 0.940
Rh 0.875 0.815 0.440

=====

The following is a DFT calculation (PBE) of a relaxed TlV2Rh crystal.

Values from the calculation:
Total magnetization = 0.0 μB per formula unit
Total energy = -6.49 eV/atom
Density = 9709 kg/m³
Calculated formation energy = 0.50 eV per atom
Symmetry = No. 122

abc: 5.770 5.770 5.770
angles: 102.45 102.45 124.66
Fractional positions:
Tl 0.000 0.000 0.000
Tl 0.750 0.250 0.500
V 0.171 0.625 0.046
V 0.375 0.421 0.546
V 0.579 0.125 0.954
V 0.875 0.829 0.454
Rh 0.250 0.750 0.500
Rh 0.500 0.500 0.000

=====

The following is a DFT calculation (PBE) of a relaxed TlVRh2 crystal.

Values from the calculation:
Total magnetization = 0.8 μB per formula unit
Total energy = -6.68 eV/atom
Density = 11892 kg/m³
Calculated formation energy = -0.13 eV per atom
Symmetry = No. 123

abc: 2.933 2.933 7.486
angles: 90.00 90.00 90.00
Fractional positions:
Tl 0.000 0.000 0.000
V 0.000 0.000 0.500
Rh 0.500 0.500 0.288
Rh 0.500 0.500 0.712

=====

The following is a DFT calculation (PBE) of a relaxed TlV3Rh crystal.

Values from the calculation:
Total magnetization = 1.0 μB per formula unit
Total energy = -6.50 eV/atom
Density = 7829 kg/m³
Calculated formation energy = 0.91 eV per atom
Symmetry = No. 221

abc: 4.604 4.604 4.604
angles: 90.00 90.00 90.00
Fractional positions:
Tl 0.000 0.000 0.000
V 0.000 0.500 0.500
V 0.500 0.000 0.500
V 0.500 0.500 0.000
Rh 0.500 0.500 0.500

=====

The following is a DFT calculation (PBE) of a relaxed TlV2Rh crystal.

Values from the calculation:
Total magnetization = 4.5 μB per formula unit
Total energy = -6.66 eV/atom
Density = 10267 kg/m³
Calculated formation energy = 0.33 eV per atom
Symmetry = No. 225

abc: 4.540 4.540 4.540
angles: 60.00 60.00 60.00
Fractional positions:
Tl 0.000 0.000 0.000
V 0.250 0.250 0.250
V 0.750 0.750 0.750
Rh 0.500 0.500 0.500